a | A plane-wave DFT calculation with PBE with a Hubbard U was carried out for a geometry-optimized LiVSiO4 structure.

abc: 5.8811 6.5112 9.4872
angles: 76.67 87.74 80.56
Space group P-1 (No. 2)
Unique sites:
Li  0.0670  0.3463  0.1705 x2
Li  0.0913  0.8791  0.2516 x2
V  0.3094  0.6348  0.5749 x2
V  0.4831  0.9280  0.7942 x2
Si  0.2185  0.1667  0.4924 x2
Si  0.3457  0.2880  0.8805 x2
O  0.0394  0.7376  0.4574 x2
O  0.1957  0.1079  0.8511 x2
O  0.2182  0.1415  0.3254 x2
O  0.2492  0.5323  0.7833 x2
O  0.3133  0.9403  0.6096 x2
O  0.3394  0.2966  0.0520 x2
O  0.3831  0.3469  0.5076 x2
O  0.4008  0.8149  0.1769 x2

Summary:
Magnetization, μB per atom: 0.29
Calculated volume, Å³/cell: 349

b | A plane-wave DFT calculation with PBE with a Hubbard U was carried out for a geometry-optimized LiVSiO4 structure.

abc: 10.3208 5.1793 13.5760
angles: 90.00 90.00 90.00
Space group Pca2_1 (No. 29)
Unique sites:
Li  0.0344  0.0923  0.0000 x4
Li  0.2142  0.4419  0.2447 x4
V  0.0376  0.9241  0.2487 x4
V  0.2130  0.4481  0.4955 x4
Si  0.0361  0.5794  0.8722 x4
Si  0.2164  0.9492  0.6245 x4
O  0.0067  0.8918  0.8692 x4
O  0.0316  0.5574  0.2752 x4
O  0.0327  0.5422  0.4718 x4
O  0.0593  0.0016  0.6308 x4
O  0.1922  0.5179  0.8747 x4
O  0.2105  0.0596  0.2237 x4
O  0.2287  0.1022  0.0267 x4
O  0.2497  0.6398  0.1157 x4

Summary:
Magnetization, μB per atom: 0.29
Calculated volume, Å³/cell: 726

c | A plane-wave DFT calculation with PBE with a Hubbard U was carried out for a geometry-optimized LiVSiO4 structure.

abc: 5.6151 10.5112 10.5612
angles: 90.00 91.72 90.00
Space group P2_1/c (No. 14)
Unique sites:
Li  0.0991  0.1541  0.2698 x4
Li  0.3789  0.6173  0.0845 x4
V  0.1509  0.6305  0.5218 x4
V  0.3411  0.0877  0.7671 x4
Si  0.1173  0.5935  0.8357 x4
Si  0.4025  0.1482  0.0705 x4
O  0.0303  0.6656  0.6979 x4
O  0.1103  0.5082  0.1550 x4
O  0.1374  0.6957  0.9516 x4
O  0.1559  0.0636  0.0691 x4
O  0.3568  0.2410  0.6705 x4
O  0.3587  0.5661  0.3834 x4
O  0.3633  0.5100  0.8243 x4
O  0.4842  0.1890  0.9254 x4

Summary:
Magnetization, μB per atom: 0.29
Calculated volume, Å³/cell: 623

d | A plane-wave DFT calculation with PBE with a Hubbard U was carried out for a geometry-optimized LiVSiO4 structure.

abc: 5.6463 6.3822 9.3294
angles: 75.69 80.31 74.13
Space group P-1 (No. 2)
Unique sites:
Li  0.1718  0.1237  0.1463 x2
Li  0.3184  0.9344  0.7805 x2
V  0.2111  0.3375  0.4252 x2
V  0.2973  0.4261  0.7946 x2
Si  0.1604  0.6741  0.0953 x2
Si  0.3285  0.7905  0.4631 x2
O  0.1076  0.4423  0.2135 x2
O  0.1332  0.6511  0.4488 x2
O  0.1339  0.1744  0.9023 x2
O  0.2190  0.0485  0.3908 x2
O  0.2466  0.6435  0.9242 x2
O  0.3585  0.7737  0.1497 x2
O  0.3792  0.2697  0.6173 x2
O  0.3946  0.7143  0.6395 x2

Summary:
Magnetization, μB per atom: 0.29
Calculated volume, Å³/cell: 312

c ends up most stable, edging out the next structure by 0.014 eV/atom.

a | A plane-wave DFT calculation with PBE with a Hubbard U was carried out for a geometry-optimized LiVSiO4 structure.

abc: 9.4785 5.5500 4.8607
angles: 90.00 90.00 90.00
Space group Pnma (No. 62)
Unique sites:
Li  0.1068  0.2500  0.0581 x4
V  0.2240  0.7500  0.0197 x4
Si  0.0000  0.0000  0.5000 x4
O  0.0682  0.7500  0.7237 x4
O  0.0742  0.2500  0.6870 x4
O  0.1590  0.5040  0.3014 x8

Summary:
Magnetization, μB per atom: 0.29
Calculated volume, Å³/cell: 256

b | A plane-wave DFT calculation with PBE with a Hubbard U was carried out for a geometry-optimized LiVSiO4 structure.

abc: 5.2066 5.2066 9.6246
angles: 90.00 90.00 120.00
Space group P6_3 (No. 173)
Unique sites:
Li  0.0000  0.0000  0.0000 x2
V  0.3333  0.6667  0.3891 x2
Si  0.3333  0.6667  0.0270 x2
O  0.0291  0.3734  0.9701 x6
O  0.3333  0.6667  0.1959 x2

Summary:
Magnetization, μB per atom: 0.29
Calculated volume, Å³/cell: 226

b ends up most stable, edging out the next structure by 0.006 eV/atom.

a | A plane-wave DFT calculation with PBE with a Hubbard U was carried out for a geometry-optimized Li2VSi7O16 structure.

abc: 7.2645 7.6461 7.8416
angles: 115.57 105.50 101.58
Space group P1 (No. 1)
Unique sites:
Li  0.0000  0.0000  0.0000 x1
Li  0.3668  0.6916  0.6641 x1
V  0.4983  0.0285  0.0642 x1
Si  0.3497  0.2780  0.4220 x1
Si  0.3753  0.5748  0.0277 x1
Si  0.5007  0.1976  0.7722 x1
Si  0.7812  0.5744  0.6139 x1
Si  0.8110  0.8020  0.3793 x1
Si  0.9226  0.2010  0.3808 x1
Si  0.9340  0.5534  0.0057 x1
O  0.1558  0.5294  0.0557 x1
O  0.1628  0.3531  0.4722 x1
O  0.2904  0.1392  0.1798 x1
O  0.3860  0.7078  0.9177 x1
O  0.3986  0.3500  0.9056 x1
O  0.4155  0.1520  0.5354 x1
O  0.4517  0.9854  0.7731 x1
O  0.5332  0.5152  0.5489 x1
O  0.5622  0.7047  0.2626 x1
O  0.7515  0.3277  0.8750 x1
O  0.8033  0.3597  0.4675 x1
O  0.8184  0.0680  0.1346 x1
O  0.8725  0.7605  0.5746 x1
O  0.9047  0.6674  0.8628 x1
O  0.9060  0.0539  0.4842 x1
O  0.9195  0.6969  0.2237 x1

Summary:
Magnetization, μB per atom: 0.12
Calculated volume, Å³/cell: 353

b | A plane-wave DFT calculation with PBE with a Hubbard U was carried out for a geometry-optimized Li2VSi7O16 structure.

abc: 7.3451 7.8277 8.2986
angles: 105.51 112.30 104.17
Space group P1 (No. 1)
Unique sites:
Li  0.0000  0.0000  0.0000 x1
Li  0.4605  0.1381  0.2003 x1
V  0.4787  0.9268  0.7975 x1
Si  0.0468  0.5936  0.8991 x1
Si  0.1942  0.1727  0.4392 x1
Si  0.4744  0.6261  0.0132 x1
Si  0.5128  0.3320  0.8903 x1
Si  0.8586  0.9721  0.3894 x1
Si  0.9257  0.3602  0.5022 x1
Si  0.9893  0.7570  0.6049 x1
O  0.0438  0.7738  0.8267 x1
O  0.1256  0.3651  0.4609 x1
O  0.2034  0.8248  0.5848 x1
O  0.2358  0.1121  0.2602 x1
O  0.2777  0.6312  0.0694 x1
O  0.3994  0.2372  0.6546 x1
O  0.4329  0.7090  0.8495 x1
O  0.4622  0.1546  0.9603 x1
O  0.7006  0.7769  0.1987 x1
O  0.7318  0.0008  0.8405 x1
O  0.7405  0.1362  0.3783 x1
O  0.7844  0.4083  0.9875 x1
O  0.8387  0.5261  0.4610 x1
O  0.8541  0.5880  0.9582 x1
O  0.8646  0.8988  0.5609 x1
O  0.9881  0.3977  0.7242 x1

Summary:
Magnetization, μB per atom: 0.04
Calculated volume, Å³/cell: 392

a ends up most stable, edging out the next structure by 0.378 eV/atom.

a | A plane-wave DFT calculation with PBE with a Hubbard U was carried out for a geometry-optimized LiV2Si2O8 structure.

abc: 4.8766 10.1107 5.8442
angles: 90.00 90.37 90.00
Space group P2_1 (No. 4)
Unique sites:
Li  0.2431  0.0000  0.3018 x2
V  0.2431  0.7507  0.9907 x2
V  0.2568  0.2836  0.5100 x2
Si  0.1891  0.6119  0.4966 x2
Si  0.3192  0.4236  0.0114 x2
O  0.0104  0.8995  0.0039 x2
O  0.0266  0.6856  0.7170 x2
O  0.0370  0.6996  0.2884 x2
O  0.0827  0.4597  0.4953 x2
O  0.3904  0.5825  0.0125 x2
O  0.4807  0.1232  0.4874 x2
O  0.4817  0.3411  0.2166 x2
O  0.4903  0.3538  0.7951 x2

Summary:
Magnetization, μB per atom: 0.23
Calculated volume, Å³/cell: 288

b | A plane-wave DFT calculation with PBE with a Hubbard U was carried out for a geometry-optimized LiV2Si2O8 structure.

abc: 5.7310 5.8477 7.9776
angles: 90.00 90.00 90.00
Space group P222_1 (No. 17)
Unique sites:
Li  0.0000  0.1681  0.2500 x2
V  0.2193  0.5000  0.5000 x2
V  0.5000  0.2145  0.2500 x2
Si  0.2609  0.2665  0.8771 x4
O  0.0172  0.2776  0.9905 x4
O  0.2607  0.4957  0.7458 x4
O  0.2634  0.0270  0.7767 x4
O  0.4966  0.2791  0.0027 x4

Summary:
Magnetization, μB per atom: 0.23
Calculated volume, Å³/cell: 267

a ends up most stable, edging out the next structure by 0.022 eV/atom.